The following is a GGA-PBE calculation of Tb2ErAg after structural relaxation, from Alexandria.

a = 11.484 Å, b = 6.977 Å, c = 6.746 Å
α = 90.00°, β = 123.70°, γ = 90.00°
Space group C2/c (No. 15)
Asymmetric unit:
Tb 0.204 0.036 0.172 [8 per cell]
Er 0.000 0.338 0.250 [4 per cell]
Ag 0.000 0.255 0.750 [4 per cell]

Properties
For the density of states at the Fermi level, the calculation gives 9.9 states/eV/cell. As for the theoretical density: 8.759 g/cm3.

---

The following is a GGA-PBE calculation of TbEr4Ag5 after structural relaxation, from Alexandria.

a = 3.581 Å, b = 3.581 Å, c = 18.384 Å
α = 90.00°, β = 90.00°, γ = 90.00°
Space group P4/mmm (No. 123)
Asymmetric unit:
Tb 0.000 0.000 0.000 [1 per cell]
Er 0.000 0.000 0.202 [2 per cell]
Er 0.000 0.000 0.400 [2 per cell]
Ag 0.500 0.500 0.103 [2 per cell]
Ag 0.500 0.500 0.301 [2 per cell]
Ag 0.500 0.500 0.500 [1 per cell]

Properties
For the density of states at the Fermi level, the calculation gives 4.4 states/eV/cell. As for the theoretical density: 9.632 g/cm3.

---

The following is a GGA-PBE calculation of Tb2ErAg after structural relaxation, from Alexandria.

a = 5.442 Å, b = 5.442 Å, c = 3.707 Å
α = 90.00°, β = 90.00°, γ = 90.00°
Space group P4/mmm (No. 123)
Asymmetric unit:
Tb 0.000 0.500 0.000 [2 per cell]
Er 0.000 0.000 0.500 [1 per cell]
Ag 0.500 0.500 0.500 [1 per cell]

Properties
For the density of states at the Fermi level, the calculation gives 4.9 states/eV/cell. As for the theoretical density: 8.967 g/cm3.

---

no.,magnetization (μB/atom),ΔE_f (eV/atom)
1,0.00,-0.104
2,0.00,-0.333
3,0.00,-0.010